In2TcTe | PBE | relaxed

Calculated values
Its energy relative to the elements, uncorrected is 1.883 eV/f.u.

```
4
Lattice="-3.2299 -1.2486 -0.8609 2.0427 -2.5444 -3.9733 2.1485 -5.5580 0.0001" Properties=species:S:1:pos:R:3 pbc="T T T"
Te 1.0743 -2.7790 0.0001
In -0.5936 -1.8965 -2.4171
In 0.0000 0.0000 0.0000
Tc 0.4807 -4.6755 -2.4171
```



Ac4Bi2IN2 | PBE | relaxed

Calculated values
Its energy relative to the elements, uncorrected is -9.721 eV/f.u.

```
9
Lattice="-3.9958 0.7767 0.3890 0.0856 -7.9330 -4.7751 0.5553 -1.4253 8.5502" Properties=species:S:1:pos:R:3 pbc="T T T"
I 0.0000 0.0000 0.0000
Ac -1.7930 -1.4660 6.0017
Ac -1.5619 -7.1157 -1.8376
Ac -2.6158 -5.1286 4.8631
Ac -0.7392 -3.4530 -0.6990
N -2.1294 -3.6213 6.8496
N -1.2255 -4.9603 -2.6855
Bi -0.2335 -2.7552 3.1021
Bi -3.1214 -5.8265 1.0620
```